Below is Pm2Dy4YHo2 after structural relaxation, with properties calculated at the PBE-GGA level.

a b c (Å): 18.6728 3.5983 9.5610
angles (deg): 90.00 115.73 90.00
Space group C2/m (No. 12)
Inequivalent atoms, fractional coordinates:
Pm1 0.1661 0.0000 0.4984 [4 per cell]
Dy1 0.0194 0.0000 0.8364 [4 per cell]
Dy2 0.1857 0.5000 0.8354 [4 per cell]
Y1 0.0000 0.5000 0.5000 [2 per cell]
Ho1 0.1475 0.5000 0.1640 [4 per cell]

## Properties
Energy of formation: -0.02 eV per formula unit
Crystal system: monoclinic
Total magnetic moment: 0.00 μB per cell